1.
Entry from the Alexandria database: a geometry-optimized ErPa2Al structure (GGA-PBE).

Cell: 3.139 3.139 11.570 Å, 82.20 82.20 60.00°
Atoms (fractional coordinates):
1 Pa 0.091 0.091 0.727
2 Pa 0.909 0.909 0.273
3 Er 0.000 0.000 0.000
4 Al 0.500 0.500 0.500

Calculated values
Total magnetic moment (μB/f.u.): 0.0
Formation energy from the elements (eV/atom): 0.200
Energy above the lowest structure with this stoichiometry (meV per atom): 236.7
Uncorrected energy (eV per atom): -6.62

2.
Entry from the Alexandria database: a geometry-optimized TlNi2Se2 structure (GGA-PBE).

Cell: 3.904 3.904 7.276 Å, 74.44 74.44 90.00°
Atoms (fractional coordinates):
1 Ni 0.750 0.250 0.500
2 Ni 0.250 0.750 0.500
3 Se 0.650 0.650 0.701
4 Se 0.350 0.350 0.299
5 Tl 0.000 0.000 0.000

Calculated values
Total magnetic moment (μB/f.u.): 0.0
Energy above the lowest structure with this stoichiometry (meV per atom): 0.0
Formation energy from raw total energies (eV per atom): -0.267
Uncorrected energy (eV per atom): -4.45

3.
Entry from the Alexandria database: a geometry-optimized Pr2Cu3Ge4Au structure (GGA-PBE).

Cell: 4.305 4.305 10.165 Å, 90.00 90.00 90.00°
Atoms (fractional coordinates):
1 Ge 0.500 0.000 0.640
2 Ge 0.500 0.500 0.000
3 Ge 0.000 0.000 0.000
4 Ge 0.000 0.500 0.360
5 Cu 0.000 0.500 0.123
6 Cu 0.000 0.000 0.500
7 Cu 0.500 0.000 0.877
8 Au 0.500 0.500 0.500
9 Pr 0.500 0.000 0.244
10 Pr 0.000 0.500 0.756

Calculated values
Total magnetic moment (μB/f.u.): 0.0
Formation energy from the elements (eV/atom): -0.525
Uncorrected energy (eV per atom): -4.88

4.
Entry from the Alexandria database: a geometry-optimized Zr5FeN6 structure (GGA-PBE).

Cell: 5.597 5.612 5.611 Å, 59.99 80.45 70.63°
Site moments in Bohr magnetons follow the coordinates.
Atoms (fractional coordinates):
1 Zr 0.500 0.500 0.000  0.06
2 Zr 0.500 0.839 0.323  0.04
3 Zr 0.000 0.334 0.333  0.02
4 Zr 0.500 0.161 0.677  0.04
5 Zr 0.000 0.666 0.667  0.02
6 N 0.747 0.084 0.338  0.04
7 N 0.752 0.748 0.000  0.04
8 N 0.253 0.916 0.662  0.04
9 N 0.248 0.252 0.000  0.04
10 N 0.253 0.579 0.338  0.04
11 N 0.747 0.421 0.662  0.04
12 Fe 0.000 0.000 0.000  3.21

Calculated values
Total magnetic moment (μB/f.u.): 3.7
Formation energy from raw total energies (eV per atom): -1.372
Uncorrected energy (eV per atom): -9.80

5.
Entry from the Alexandria database: a geometry-optimized Na2LiY structure (GGA-PBE).

Cell: 5.577 5.577 5.577 Å, 60.00 60.00 60.00°
Atoms (fractional coordinates):
1 Na 0.250 0.250 0.250
2 Na 0.750 0.750 0.750
3 Li 0.000 0.000 0.000
4 Y 0.500 0.500 0.500

Calculated values
Total magnetic moment (μB/f.u.): 0.0
Formation energy from the elements (eV/atom): 0.389
Energy above the lowest structure with this stoichiometry (meV per atom): 163.7
Uncorrected energy (eV per atom): -2.36

6.
Entry from the Alexandria database: a geometry-optimized PuSc2Ag structure (GGA-PBE).

Cell: 3.296 3.296 10.095 Å, 80.60 80.60 60.00°
Site moments in Bohr magnetons follow the coordinates.
Atoms (fractional coordinates):
1 Sc 0.256 0.256 0.231  0.01
2 Sc 0.077 0.077 0.769  -0.02
3 Ag 0.666 0.666 0.001  0.01
4 Pu 0.500 0.500 0.499  -5.46

Calculated values
Total magnetic moment (μB/f.u.): 5.8
Formation energy from the elements (eV/atom): 0.061
Energy above the lowest structure with this stoichiometry (meV per atom): 109.5
Uncorrected energy (eV per atom): -7.40

7.
Entry from the Alexandria database: a geometry-optimized Mg2MnAl2 structure (GGA-PBE).

Cell: 7.024 7.024 7.024 Å, 147.06 147.06 47.28°
Site moments in Bohr magnetons follow the coordinates.
Atoms (fractional coordinates):
1 Al 0.595 0.595 0.000  -0.02
2 Al 0.405 0.405 0.000  -0.02
3 Mg 0.250 0.750 0.500  0.00
4 Mg 0.750 0.250 0.500  0.00
5 Mn 0.000 0.000 0.000  3.93

Calculated values
Total magnetic moment (μB/f.u.): 4.0
Formation energy from the elements (eV/atom): 0.401
Energy above the lowest structure with this stoichiometry (meV per atom): 245.2
Uncorrected energy (eV per atom): -3.57

8.
Entry from the Alexandria database: a geometry-optimized CaPrGa structure (GGA-PBE).

Cell: 3.905 5.116 5.116 Å, 120.00 90.00 90.00°
Atoms (fractional coordinates):
1 Pr 0.394 0.333 0.667
2 Ca 0.934 0.000 0.000
3 Ga 0.672 0.667 0.333

Calculated values
Total magnetic moment (μB/f.u.): 0.0
Formation energy from the elements (eV/atom): -0.221
Energy above the lowest structure with this stoichiometry (meV per atom): 210.1
Uncorrected energy (eV per atom): -3.49